The following is a GGA+U calculation of a geometry-optimized TmCd2WO6 structure, from the Alexandria database.

Results
Calculated density = 8.6 Mg/m³
Symmetry = P2_1/c, No. 14
Uncorrected energy = -127.7 eV/cell

Cell: 5.629 5.695 8.161 Å, 90.00 89.79 90.00°
Site moments in Bohr magnetons follow the coordinates.
Sites, in units of the cell vectors:
Tm  0.500  0.000  0.000  0.01
Tm  0.000  0.500  0.500  0.01
Cd  0.002  0.960  0.253  0.01
Cd  0.502  0.540  0.753  0.01
Cd  0.998  0.040  0.747  0.01
Cd  0.498  0.460  0.247  0.01
W  0.500  0.000  0.500  0.97
W  0.000  0.500  0.000  0.97
O  0.303  0.677  0.057  0.01
O  0.803  0.823  0.557  0.01
O  0.697  0.323  0.943  0.01
O  0.197  0.177  0.443  0.01
O  0.335  0.706  0.443  -0.01
O  0.835  0.794  0.943  -0.01
O  0.665  0.294  0.557  -0.01
O  0.165  0.206  0.057  -0.01
O  0.894  0.558  0.238  0.00
O  0.394  0.942  0.738  0.00
O  0.106  0.442  0.762  0.00
O  0.606  0.058  0.262  0.00